Record 1
# TaCu3Ni4 | Alexandria via LeMat-Bulk | PBE-GGA | optimized geometry
# D(E_F) in states/eV per atom: 0.53
# E_form in eV/atom: -0.096
data_TaCu3Ni4
_chemical_formula_sum 'Ta2 Cu6 Ni8'
_symmetry_space_group_name_H-M 'P m m a'
_symmetry_Int_Tables_number 51
_symmetry_space_group_name_Hall '-P 2a 2a'
_cell_length_a 8.371
_cell_length_b 5.264
_cell_length_c 4.377
_cell_angle_alpha 90.00
_cell_angle_beta 90.00
_cell_angle_gamma 90.00
loop_
_atom_site_label
_atom_site_type_symbol
_atom_site_fract_x
_atom_site_fract_y
_atom_site_fract_z
_atom_site_occupancy
Ta1 Ta 0.000 0.000 0.000 1
Cu1 Cu 0.000 0.500 0.000 1
Cu2 Cu 0.250 0.000 0.384 1
Cu3 Cu 0.250 0.500 0.357 1
Ni1 Ni 0.000 0.257 0.500 1
Ni2 Ni 0.250 0.260 0.859 1

Record 2
# Ta2CuNi6 | Alexandria via LeMat-Bulk | PBE-GGA | optimized geometry
# D(E_F) in states/eV per atom: 0.70
# E_form in eV/atom: -0.098
data_Ta2CuNi6
_chemical_formula_sum 'Ta2 Cu1 Ni6'
_symmetry_space_group_name_H-M 'P -3 m 1'
_symmetry_Int_Tables_number 164
_symmetry_space_group_name_Hall '-P 3 2"'
_cell_length_a 4.9253
_cell_length_b 4.9253
_cell_length_c 5.4014
_cell_angle_alpha 90.00
_cell_angle_beta 90.00
_cell_angle_gamma 120.00
loop_
_atom_site_label
_atom_site_type_symbol
_atom_site_fract_x
_atom_site_fract_y
_atom_site_fract_z
_atom_site_occupancy
Ta1 Ta 0.3333 0.6667 0.1355 1
Cu1 Cu 0.0000 0.0000 0.0000 1
Ni1 Ni 0.1749 0.3498 0.6741 1